DFT (PBE+U) results for an optimized crystal structure of LiVIO6.

abc: 5.136 5.136 9.658
angles: 90.00 90.00 120.00
Sites, in units of the cell vectors:
Li  0.000  0.000  0.000
Li  0.000  0.000  0.500
V  0.333  0.667  0.250
V  0.667  0.333  0.750
I  0.333  0.667  0.750
I  0.667  0.333  0.250
O  0.008  0.378  0.639
O  0.008  0.629  0.861
O  0.371  0.378  0.861
O  0.371  0.992  0.639
O  0.378  0.008  0.139
O  0.378  0.371  0.361
O  0.622  0.629  0.639
O  0.622  0.992  0.861
O  0.629  0.008  0.361
O  0.629  0.622  0.139
O  0.992  0.371  0.139
O  0.992  0.622  0.361

Calculated values
* electronic total energy: -0.2078 hartree per atom
* SG: P-31c (163)